No. 1
DFT (PBE-GGA) results for a relaxed Hf4BiSN2 crystal.

theoretical density = 12.8 g cm⁻³
SG = P-6m2 (187)

Cell lengths 3.382, 3.382, 12.881 Å; angles 90.00, 90.00, 120.00 degrees
Atoms (fractional coordinates):
1 Hf 0.000 0.000 0.139
2 Hf 0.000 0.000 0.861
3 Hf 0.667 0.333 0.317
4 Hf 0.667 0.333 0.683
5 Bi 0.000 0.000 0.500
6 S 0.667 0.333 0.000
7 N 0.333 0.667 0.229
8 N 0.333 0.667 0.771

No. 2
DFT (PBE-GGA) results for a relaxed ErAgPbS3 crystal.

theoretical density = 7.1 g cm⁻³
SG = Pnma (62)
energy above the lowest structure with this stoichiometry = 0.0555 eV/atom

Cell lengths 8.117, 4.153, 15.962 Å; angles 90.00, 90.00, 90.00 degrees
Atoms (fractional coordinates):
1 Er 0.243 0.250 0.037
2 Er 0.257 0.750 0.537
3 Er 0.743 0.250 0.463
4 Er 0.757 0.750 0.963
5 Ag 0.125 0.250 0.365
6 Ag 0.375 0.750 0.865
7 Ag 0.625 0.250 0.135
8 Ag 0.875 0.750 0.635
9 Pb 0.082 0.250 0.773
10 Pb 0.418 0.750 0.273
11 Pb 0.582 0.250 0.727
12 Pb 0.918 0.750 0.227
13 S 0.036 0.250 0.587
14 S 0.116 0.750 0.949
15 S 0.179 0.250 0.206
16 S 0.321 0.750 0.706
17 S 0.384 0.250 0.449
18 S 0.464 0.750 0.087
19 S 0.536 0.250 0.913
20 S 0.616 0.750 0.551
21 S 0.679 0.250 0.294
22 S 0.821 0.750 0.794
23 S 0.884 0.250 0.051
24 S 0.964 0.750 0.413

no.,final energy (eV per atom)
1,-9.24
2,-4.90